# 1
## PuZrSc5 (PBE)

Data for a relaxed structure of PuZrSc5.

a b c (Å): 8.361 8.361 8.117
angles (deg): 94.35 94.35 141.34
Atoms (fractional coordinates):
Pu (0.000, 0.000, 0.000)
Pu (0.000, 0.000, 0.500)
Zr (0.486, 0.514, 0.750)
Zr (0.514, 0.486, 0.250)
Sc (0.019, 0.388, 0.647)
Sc (0.144, 0.856, 0.750)
Sc (0.235, 0.540, 0.038)
Sc (0.388, 0.019, 0.147)
Sc (0.460, 0.765, 0.462)
Sc (0.540, 0.235, 0.538)
Sc (0.612, 0.981, 0.853)
Sc (0.765, 0.460, 0.962)
Sc (0.856, 0.144, 0.250)
Sc (0.981, 0.612, 0.353)

Calculated values
SG: C2/c (15)
Energy of formation from the pure elements (eV/atom): 0.20

=====

# 2
## PuZr2Sc (PBE)

Data for a relaxed structure of PuZr2Sc.

a b c (Å): 3.767 3.767 6.632
angles (deg): 90.00 90.00 90.00
Atoms (fractional coordinates):
Pu (0.000, 0.000, 0.000)
Zr (0.500, 0.500, 0.236)
Zr (0.500, 0.500, 0.764)
Sc (0.000, 0.000, 0.500)

Calculated values
SG: P4/mmm (123)
Energy of formation from the pure elements (eV/atom): 0.16
Energy relative to the lowest polymorph listed for this composition (kJ per mole of atoms): 10.3

=====

# 3
## PuZrSc (PBE)

Data for a relaxed structure of PuZrSc.

a b c (Å): 5.996 5.996 5.996
angles (deg): 129.11 115.60 86.40
Atoms (fractional coordinates):
Pu (0.164, 0.164, 0.000)
Pu (0.836, 0.836, 0.000)
Zr (0.330, 0.830, 0.500)
Zr (0.670, 0.170, 0.500)
Sc (0.256, 0.500, 0.756)
Sc (0.744, 0.500, 0.244)

Calculated values
SG: Immm (71)
Energy of formation from the pure elements (eV/atom): 0.11
Energy relative to the lowest polymorph listed for this composition (kJ per mole of atoms): 1.7